A relaxed structure of FeHgAuF6, computed with PBE+U.

The structure belongs to space group P-31c (No. 163); the cell edges are 5.8807, 5.8807 and 9.5115 Å and the angles 90.00°, 90.00° and 120.00°. The inequivalent atoms are Fe at (0.3333, 0.6667, 0.2500), Hg at (0.3333, 0.6667, 0.7500), Au at (0.0000, 0.0000, 0.0000) and F at (0.0484, 0.3923, 0.1359).

The value obtained for the density of states at the Fermi level is 9.9 states/eV per cell. Its uncorrected energy is -69.36 eV/cell.